The following is a DFT calculation (GGA+U) of a geometry-optimized NaMnPtO6 structure.

```
NaMnPtO6
1.0
-4.191 1.214 -2.714
2.459 -4.420 -0.908
-5.918 -4.735 7.021
O Pt Mn Na
12 2 2 2
Cartesian
-2.939 -7.007 2.633
-2.757 -2.853 1.119
-5.676 -5.255 4.641
-4.712 -0.935 0.765
-2.434 -0.265 0.003
-4.723 -3.220 -0.785
-3.527 -6.813 5.401
-5.217 -7.676 3.395
-1.975 -2.687 -1.243
-4.893 -5.088 2.279
-2.928 -4.721 4.183
-4.124 -1.128 -2.003
-6.413 -4.215 3.153
-1.237 -3.726 0.245
-3.454 -1.848 -0.357
-4.196 -6.093 3.755
-2.959 -2.367 3.511
0.000 0.000 0.000
```

Results
magnetic moment	0.21	Bohr magnetons per cell
total energy	-5.716	eV/atom